Run a
Density functional theory data (meta-GGA SCAN) for a PBEsol-optimized structure of KRe2P.

## Properties
symmetry	Cmmm (65)

a = 2.972 Å, b = 4.787 Å, c = 9.462 Å
α = 90.00°, β = 90.00°, γ = 90.00°
Fractional positions:
1 K 0.000 0.000 0.000
2 K 0.500 0.500 0.000
3 Re 0.000 0.500 0.309
4 Re 0.000 0.500 0.691
5 Re 0.500 0.000 0.309
6 Re 0.500 0.000 0.691
7 P 0.000 0.000 0.500
8 P 0.500 0.500 0.500

=====

Run b
Density functional theory data (meta-GGA SCAN) for a PBEsol-optimized structure of KRe2P.

## Properties
symmetry	R-3m (166)

a = 2.857 Å, b = 2.857 Å, c = 28.293 Å
α = 90.00°, β = 90.00°, γ = 120.00°
Fractional positions:
1 K 0.000 0.000 0.000
2 K 0.333 0.667 0.667
3 K 0.667 0.333 0.333
4 Re 0.000 0.000 0.229
5 Re 0.000 0.000 0.771
6 Re 0.333 0.667 0.437
7 Re 0.333 0.667 0.896
8 Re 0.667 0.333 0.104
9 Re 0.667 0.333 0.563
10 P 0.000 0.000 0.500
11 P 0.333 0.667 0.167
12 P 0.667 0.333 0.833

=====

run b is the most stable structure; the next one sits 17.8 kJ/mol of atoms above it.

=====

Run a
Density functional theory data (meta-GGA SCAN) for a PBEsol-optimized structure of KP2Rh.

## Properties
symmetry	Fm-3m (225)

a = 6.355 Å, b = 6.355 Å, c = 6.355 Å
α = 90.00°, β = 90.00°, γ = 90.00°
Fractional positions:
1 K 0.000 0.000 0.000
2 K 0.000 0.500 0.500
3 K 0.500 0.000 0.500
4 K 0.500 0.500 0.000
5 P 0.250 0.250 0.250
6 P 0.250 0.250 0.750
7 P 0.250 0.750 0.250
8 P 0.250 0.750 0.750
9 P 0.750 0.250 0.250
10 P 0.750 0.250 0.750
11 P 0.750 0.750 0.250
12 P 0.750 0.750 0.750
13 Rh 0.000 0.000 0.500
14 Rh 0.000 0.500 0.000
15 Rh 0.500 0.000 0.000
16 Rh 0.500 0.500 0.500

=====

Run b
Density functional theory data (meta-GGA SCAN) for a PBEsol-optimized structure of KP2Rh.

## Properties
symmetry	I-42d (122)

a = 6.939 Å, b = 6.939 Å, c = 8.149 Å
α = 90.00°, β = 90.00°, γ = 90.00°
Fractional positions:
1 K 0.000 0.000 0.000
2 K 0.000 0.500 0.250
3 K 0.500 0.000 0.750
4 K 0.500 0.500 0.500
5 P 0.133 0.750 0.625
6 P 0.250 0.133 0.375
7 P 0.250 0.367 0.875
8 P 0.367 0.750 0.125
9 P 0.633 0.250 0.125
10 P 0.750 0.633 0.875
11 P 0.750 0.867 0.375
12 P 0.867 0.250 0.625
13 Rh 0.000 0.000 0.500
14 Rh 0.000 0.500 0.750
15 Rh 0.500 0.000 0.250
16 Rh 0.500 0.500 0.000

=====

Run c
Density functional theory data (meta-GGA SCAN) for a PBEsol-optimized structure of KP2Rh.

## Properties
symmetry	C2/m (12)

a = 7.262 Å, b = 3.561 Å, c = 6.355 Å
α = 90.00°, β = 104.93°, γ = 90.00°
Fractional positions:
1 K 0.000 0.000 0.000
2 K 0.500 0.500 0.000
3 P 0.222 0.000 0.629
4 P 0.278 0.500 0.371
5 P 0.722 0.500 0.629
6 P 0.778 0.000 0.371
7 Rh 0.000 0.500 0.500
8 Rh 0.500 0.000 0.500

=====

Run d
Density functional theory data (meta-GGA SCAN) for a PBEsol-optimized structure of KP2Rh.

## Properties
symmetry	Imm2 (44)

a = 3.074 Å, b = 5.558 Å, c = 9.096 Å
α = 90.00°, β = 90.00°, γ = 90.00°
Fractional positions:
1 K 0.000 0.000 0.000
2 K 0.500 0.500 0.500
3 P 0.000 0.000 0.516
4 P 0.000 0.500 0.187
5 P 0.500 0.000 0.687
6 P 0.500 0.500 0.016
7 Rh 0.000 0.500 0.829
8 Rh 0.500 0.000 0.329

=====

run c is the most stable structure; the next one sits 22.1 kJ/mol of atoms above it.

=====

Run a
Density functional theory data (meta-GGA SCAN) for a PBEsol-optimized structure of KP2Ru.

## Properties
symmetry	P4/mmm (123)

a = 2.934 Å, b = 2.934 Å, c = 7.773 Å
α = 90.00°, β = 90.00°, γ = 90.00°
Fractional positions:
1 K 0.000 0.000 0.000
2 P 0.500 0.500 0.316
3 P 0.500 0.500 0.684
4 Ru 0.000 0.000 0.500

=====

Run b
Density functional theory data (meta-GGA SCAN) for a PBEsol-optimized structure of KP2Ru.

## Properties
symmetry	F-43m (216)

a = 6.355 Å, b = 6.355 Å, c = 6.355 Å
α = 90.00°, β = 90.00°, γ = 90.00°
Fractional positions:
1 K 0.000 0.000 0.000
2 K 0.000 0.500 0.500
3 K 0.500 0.000 0.500
4 K 0.500 0.500 0.000
5 P 0.000 0.000 0.500
6 P 0.000 0.500 0.000
7 P 0.250 0.250 0.250
8 P 0.250 0.750 0.750
9 P 0.500 0.000 0.000
10 P 0.500 0.500 0.500
11 P 0.750 0.250 0.750
12 P 0.750 0.750 0.250
13 Ru 0.250 0.250 0.750
14 Ru 0.250 0.750 0.250
15 Ru 0.750 0.250 0.250
16 Ru 0.750 0.750 0.750

=====

run a is the most stable structure; the next one sits 123.3 kJ/mol of atoms above it.